[1]
## Sm5DyHoEr2 (GGA-PBE)

Data for a relaxed Sm5DyHoEr2 crystal.

Values from the calculation:
Energy of formation: 0.15 eV/atom
Total DFT energy (no corrections): -4.51 eV per atom
Total moment: 0.000 μB per formula unit
Mass density: 7.82 g/cm3

Cell: 5.6122 20.1416 10.6276 Å, 90.00 90.00 90.00°
Closest atoms and distances in Å follow each position.
Space group Cmc2_1 (No. 36)
One atom of each set of equivalent atoms:
Sm  0.0000  0.0169  0.0000 x4  2 Ho 3.23, 3 Er 3.44-3.55
Sm  0.0000  0.2807  0.2905 x4  1 Ho 3.05, 1 Er 3.35, 2 Sm 3.41
Sm  0.0000  0.2986  0.6865 x4  4 Sm 3.41-3.81, 1 Ho 3.46, 3 Dy 3.50-3.80, 3 Er 3.50-3.79
Sm  0.0000  0.3877  0.0025 x4  6 Sm 3.52-3.83, 4 Er 3.58-3.62, 1 Dy 3.80
Sm  0.0000  0.4810  0.7216 x4  2 Ho 3.18-3.32, 2 Er 3.49, 2 Sm 3.52-3.53
Dy  0.0000  0.1992  0.9904 x4  2 Er 3.39-3.64, 8 Sm 3.50-3.80, 2 Ho 3.61
Ho  0.0000  0.4104  0.4389 x4  5 Sm 3.05-3.32
Er  0.0000  0.1112  0.7182 x4  1 Dy 3.39, 7 Sm 3.47-3.79, 2 Ho 3.68
Er  0.0000  0.1147  0.2936 x4  9 Sm 3.35-3.69, 1 Dy 3.64

---

[2]
## SmDyHo4Er2 (GGA-PBE)

Data for a relaxed SmDyHo4Er2 crystal.

Values from the calculation:
Energy of formation: 0.02 eV/atom
Total DFT energy (no corrections): -4.57 eV per atom
Total moment: 0.000 μB per formula unit
Mass density: 8.70 g/cm3

Cell: 4.9954 4.9954 9.9959 Å, 90.00 90.00 90.00°
Closest atoms and distances in Å follow each position.
Space group P4/mmm (No. 123)
One atom of each set of equivalent atoms:
Sm  0.0000  0.0000  0.0000 x1  4 Er 3.53, 8 Ho 3.54
Dy  0.5000  0.5000  0.5000 x1  8 Ho 3.52, 4 Er 3.53
Ho  0.0000  0.5000  0.2514 x4  2 Dy 3.52, 4 Er 3.52-3.54, 4 Ho 3.53, 2 Sm 3.54
Er  0.0000  0.0000  0.5000 x1  8 Ho 3.52, 4 Dy 3.53
Er  0.5000  0.5000  0.0000 x1  4 Sm 3.53, 8 Ho 3.54

---

[3]
## Sm2Dy3HoEr6 (GGA-PBE)

Data for a relaxed Sm2Dy3HoEr6 crystal.

Values from the calculation:
Energy of formation: 0.02 eV/atom
Total DFT energy (no corrections): -4.58 eV per atom
Total moment: 0.000 μB per formula unit
Mass density: 8.68 g/cm3

Cell: 6.1273 10.6026 11.6974 Å, 90.00 100.01 90.00°
Closest atoms and distances in Å follow each position.
Space group C2/m (No. 12)
One atom of each set of equivalent atoms:
Sm  0.0000  0.1666  0.0000 x4  3 Sm 3.53-3.54, 3 Ho 3.54, 6 Er 3.54-3.55
Dy  0.0000  0.0000  0.5000 x2  6 Er 3.52, 6 Dy 3.54
Dy  0.0000  0.3334  0.5000 x4  6 Er 3.51-3.52, 6 Dy 3.53-3.54
Ho  0.0000  0.5000  0.0000 x2  6 Sm 3.54, 6 Er 3.54
Er  0.2485  0.5000  0.7486 x4  3 Dy 3.51-3.52, 6 Er 3.53-3.54, 1 Ho 3.54, 2 Sm 3.55
Er  0.2493  0.1664  0.7488 x8  3 Dy 3.52, 6 Er 3.53-3.54, 2 Sm 3.54, 1 Ho 3.54

---

[4]
## Sm2DyHo4Er (GGA-PBE)

Data for a relaxed Sm2DyHo4Er crystal.

Values from the calculation:
Energy of formation: 0.44 eV/atom
Total DFT energy (no corrections): -4.18 eV per atom
Total moment: 3.386 μB per formula unit
Mass density: 8.13 g/cm3

Cell: 6.7792 11.7445 13.2442 Å, 90.00 90.00 90.00°
Closest atoms and distances in Å follow each position.
Space group Imma (No. 74)
One atom of each set of equivalent atoms:
Sm  0.0000  0.0000  0.0000 x4  6 Ho 3.33-3.39, 2 Dy 3.39
Sm  0.2500  0.2500  0.2500 x4  6 Ho 3.35-3.42, 2 Sm 3.39
Dy  0.0000  0.0000  0.5000 x4  6 Ho 3.29-3.39, 2 Sm 3.39
Ho  0.0000  0.0030  0.7488 x8  1 Dy 3.29, 3 Sm 3.33-3.42, 2 Er 3.36, 2 Ho 3.39
Ho  0.2490  0.2500  0.5030 x8  1 Er 3.27, 3 Sm 3.35-3.39, 2 Ho 3.38-3.40, 2 Dy 3.39
Er  0.2500  0.2500  0.7500 x4  6 Ho 3.27-3.36, 2 Er 3.39

---

[5]
## Sm3Dy2Ho6Er (GGA-PBE)

Data for a relaxed Sm3Dy2Ho6Er crystal.

Values from the calculation:
Energy of formation: 0.02 eV/atom
Total DFT energy (no corrections): -4.60 eV per atom
Total moment: 0.000 μB per formula unit
Mass density: 8.47 g/cm3

Cell: 6.1542 10.6499 11.7457 Å, 90.00 100.01 90.00°
Closest atoms and distances in Å follow each position.
Space group C2/m (No. 12)
One atom of each set of equivalent atoms:
Sm  0.0000  0.0000  0.0000 x2  6 Sm 3.55, 6 Ho 3.57
Sm  0.0000  0.3334  0.0000 x4  6 Sm 3.55, 6 Ho 3.57
Dy  0.0000  0.1666  0.5000 x4  6 Ho 3.52, 3 Dy 3.55, 3 Er 3.55
Ho  0.2495  0.0000  0.7474 x4  1 Er 3.52, 2 Dy 3.52, 6 Ho 3.55, 3 Sm 3.57
Ho  0.2492  0.3334  0.7474 x8  2 Dy 3.52, 1 Er 3.52, 6 Ho 3.55, 3 Sm 3.57
Er  0.0000  0.5000  0.5000 x2  6 Ho 3.52, 6 Dy 3.55

---

[6]
## Tb6Dy2Ho3Er (GGA-PBE)

Data for a relaxed Tb6Dy2Ho3Er crystal.

Values from the calculation:
Energy of formation: 0.02 eV/atom
Total DFT energy (no corrections): -4.59 eV per atom
Total moment: 0.000 μB per formula unit
Mass density: 8.60 g/cm3

Cell: 6.1271 10.6033 11.7093 Å, 90.00 99.98 90.00°
Closest atoms and distances in Å follow each position.
Space group C2/m (No. 12)
One atom of each set of equivalent atoms:
Tb  0.2494  0.0000  0.2498 x4  3 Ho 3.53, 1 Er 3.53, 6 Tb 3.53-3.54, 2 Dy 3.54
Tb  0.2503  0.1666  0.7501 x8  2 Dy 3.53-3.54, 3 Ho 3.53, 6 Tb 3.53-3.54, 1 Er 3.53
Dy  0.0000  0.3334  0.5000 x4  6 Tb 3.53-3.54, 3 Dy 3.53-3.54, 3 Er 3.54
Ho  0.0000  0.1666  0.0000 x4  6 Tb 3.53, 6 Ho 3.53-3.54
Ho  0.0000  0.5000  0.0000 x2  6 Tb 3.53, 6 Ho 3.54
Er  0.0000  0.0000  0.5000 x2  6 Tb 3.53, 6 Dy 3.54